Entry 1:
# P2RuBr

A crystal of P2RuBr relaxed with PBEsol (SCAN, the Alexandria database).

```
4
Lattice="3.268 0.000 0.000 1.634 2.830 0.000 1.634 0.943 7.200" Properties=species:S:1:pos:R:3 pbc="T T T"
Br 0.000 0.000 0.000
P 1.634 0.943 2.137
P 4.901 2.830 5.063
Ru 3.268 1.887 3.600
```

Properties
V	66.6	Å³/cell
crystal system	trigonal
formation energy (no corrections)	0.7	eV/f.u.
magnetization	0.0	μB/f.u.
total DFT energy (no corrections)	-74.39	eV per cell
symmetry	No. 166


Entry 2:
# P2RuBr

A crystal of P2RuBr relaxed with PBEsol (SCAN, the Alexandria database).

```
4
Lattice="4.387 0.000 0.000 2.194 3.800 0.000 2.194 1.267 3.582" Properties=species:S:1:pos:R:3 pbc="T T T"
Br 4.387 2.533 1.791
P 0.000 0.000 0.000
P 6.581 3.800 2.687
Ru 2.194 1.267 0.896
```

Properties
V	59.7	Å³/cell
crystal system	cubic
formation energy (no corrections)	3.9	eV/f.u.
magnetization	0.0	μB/f.u.
total DFT energy (no corrections)	-71.19	eV per cell
symmetry	No. 216


Entry 3:
# P4RuBr

A crystal of P4RuBr relaxed with PBEsol (SCAN, the Alexandria database).

```
6
Lattice="5.316 0.000 0.000 2.658 4.604 0.000 2.658 1.535 4.341" Properties=species:S:1:pos:R:3 pbc="T T T"
Br 0.000 0.000 0.000
P 3.789 2.187 1.547
P 5.316 3.069 4.041
P 6.844 2.187 1.547
P 5.316 4.833 1.547
Ru 7.975 4.604 3.256
```

Properties
V	106.2	Å³/cell
crystal system	cubic
formation energy (no corrections)	5.7	eV/f.u.
magnetization	3.0	μB/f.u.
total DFT energy (no corrections)	-90.13	eV per cell
symmetry	No. 216


Entry 4:
# P2RuBr

A crystal of P2RuBr relaxed with PBEsol (SCAN, the Alexandria database).

```
4
Lattice="2.800 0.000 0.000 0.000 2.800 0.000 0.000 0.000 9.591" Properties=species:S:1:pos:R:3 pbc="T T T"
Br 1.400 1.400 4.795
P 0.000 0.000 8.069
P 0.000 0.000 1.522
Ru 1.400 1.400 0.000
```

Properties
V	75.2	Å³/cell
crystal system	tetragonal
formation energy (no corrections)	0.4	eV/f.u.
magnetization	0.0	μB/f.u.
total DFT energy (no corrections)	-74.73	eV per cell
symmetry	No. 123


Entry 5:
# PRuBr2

A crystal of PRuBr2 relaxed with PBEsol (SCAN, the Alexandria database).

```
4
Lattice="3.016 0.000 0.000 0.000 3.016 0.000 0.000 0.000 8.302" Properties=species:S:1:pos:R:3 pbc="T T T"
Br 0.000 0.000 5.753
Br 0.000 0.000 2.550
P 1.508 1.508 0.000
Ru 1.508 1.508 4.151
```

Properties
V	75.5	Å³/cell
crystal system	tetragonal
formation energy (no corrections)	4.3	eV/f.u.
magnetization	0.0	μB/f.u.
total DFT energy (no corrections)	-79.83	eV per cell
symmetry	No. 123


Entry 6:
# PRuS2Br

A crystal of PRuS2Br relaxed with PBEsol (SCAN, the Alexandria database).

```
5
Lattice="4.437 0.000 0.000 0.000 4.437 0.000 0.000 0.000 4.882" Properties=species:S:1:pos:R:3 pbc="T T T"
Ru 0.000 0.000 0.000
S 0.000 2.219 0.000
S 2.219 0.000 0.000
Br 2.219 2.219 2.441
P 0.000 0.000 2.441
```

Properties
V	96.1	Å³/cell
crystal system	tetragonal
formation energy (no corrections)	2.6	eV/f.u.
magnetization	0.0	μB/f.u.
total DFT energy (no corrections)	-81.34	eV per cell
symmetry	No. 123


Entry 7:
# PRuSe2Br

A crystal of PRuSe2Br relaxed with PBEsol (SCAN, the Alexandria database).

```
5
Lattice="4.761 0.000 0.000 0.000 4.761 0.000 0.000 0.000 4.802" Properties=species:S:1:pos:R:3 pbc="T T T"
Ru 2.380 2.380 2.401
Se 0.000 2.380 0.000
Se 2.380 0.000 0.000
Br 0.000 0.000 2.401
P 0.000 0.000 0.000
```

Properties
V	108.8	Å³/cell
crystal system	tetragonal
formation energy (no corrections)	5.0	eV/f.u.
magnetization	3.3	μB/f.u.
total DFT energy (no corrections)	-99.87	eV per cell
symmetry	No. 123


Entry 8:
# TaPRu2Br

A crystal of TaPRu2Br relaxed with PBEsol (SCAN, the Alexandria database).

```
5
Lattice="4.342 0.000 0.000 0.000 4.342 0.000 0.000 0.000 4.659" Properties=species:S:1:pos:R:3 pbc="T T T"
Ru 0.000 2.171 0.000
Ru 2.171 0.000 0.000
P 0.000 0.000 0.000
Br 2.171 2.171 2.329
Ta 0.000 0.000 2.329
```

Properties
V	87.8	Å³/cell
crystal system	tetragonal
formation energy (no corrections)	4.1	eV/f.u.
magnetization	1.7	μB/f.u.
total DFT energy (no corrections)	-162.02	eV per cell
symmetry	No. 123


Entry 9:
# PSBr2

A crystal of PSBr2 relaxed with PBEsol (SCAN, the Alexandria database).

```
4
Lattice="-0.674 -3.320 0.487 0.447 -1.401 3.091 -8.351 0.413 3.289" Properties=species:S:1:pos:R:3 pbc="T T T"
P -4.289 -2.154 3.434
S 0.000 0.000 0.000
Br -2.534 -4.167 4.162
Br -6.044 -0.141 2.705
```

Properties
V	88.9	Å³/cell
crystal system	trigonal
formation energy (no corrections)	3.3	eV/f.u.
magnetization	0.0	μB/f.u.
total DFT energy (no corrections)	-55.65	eV per cell
symmetry	No. 166


Entry 10:
# SbPS2Br

A crystal of SbPS2Br relaxed with PBEsol (SCAN, the Alexandria database).

```
5
Lattice="-3.133 -3.544 -0.230 0.524 -0.765 4.644 -3.628 3.147 0.927" Properties=species:S:1:pos:R:3 pbc="T T T"
Sb -3.119 -0.580 2.671
S 0.262 -0.382 2.322
S -1.567 -1.772 -0.115
Br 0.000 0.000 0.000
P -1.814 1.574 0.464
```

Properties
V	109.7	Å³/cell
crystal system	tetragonal
formation energy (no corrections)	5.8	eV/f.u.
magnetization	0.0	μB/f.u.
total DFT energy (no corrections)	-80.55	eV per cell
symmetry	No. 123


Entry 11:
# P2WSBr

A crystal of P2WSBr relaxed with PBEsol (SCAN, the Alexandria database).

```
5
Lattice="-4.228 -0.773 -1.432 0.493 -4.499 0.973 -1.588 0.753 4.283" Properties=species:S:1:pos:R:3 pbc="T T T"
P -0.794 0.376 2.141
P 0.246 -2.249 0.487
S -2.114 -0.386 -0.716
Br 0.000 0.000 0.000
W -2.662 -2.260 1.912
```

Properties
V	97.1	Å³/cell
crystal system	tetragonal
formation energy (no corrections)	10.9	eV/f.u.
magnetization	2.2	μB/f.u.
total DFT energy (no corrections)	-108.63	eV per cell
symmetry	No. 123


Entry 12:
# YPS2Br

A crystal of YPS2Br relaxed with PBEsol (SCAN, the Alexandria database).

```
5
Lattice="-0.235 2.629 -4.309 -4.355 2.074 1.504 2.815 4.176 2.395" Properties=species:S:1:pos:R:3 pbc="T T T"
Y 0.000 0.000 0.000
P 1.408 2.088 1.197
S -2.178 1.037 0.752
S -0.118 1.315 -2.154
Br -0.888 4.440 -0.205
```

Properties
V	142.4	Å³/cell
crystal system	tetragonal
formation energy (no corrections)	0.2	eV/f.u.
magnetization	0.7	μB/f.u.
total DFT energy (no corrections)	-76.73	eV per cell
symmetry	No. 123